Version i
An optimized crystal structure of Ba3Tl7Sn2, computed with PBE.

Structure (CIF):
```
data_Ba3Tl7Sn2
_chemical_formula_sum 'Ba3 Tl7 Sn2'
_space_group_name_H-M_alt 'P 1'
_space_group_IT_number 1
_cell_length_a 6.445
_cell_length_b 6.514
_cell_length_c 10.940
_cell_angle_alpha 87.40
_cell_angle_beta 77.16
_cell_angle_gamma 67.48
loop_
_space_group_symop_operation_xyz
'x,y,z'
loop_
_atom_site_label
_atom_site_type_symbol
_atom_site_fract_x
_atom_site_fract_y
_atom_site_fract_z
_atom_site_occupancy
Ba1 Ba 0.000 0.000 0.000 1
Ba2 Ba 0.354 0.511 0.337 1
Ba3 Ba 0.646 0.489 0.663 1
Tl1 Tl 0.013 0.830 0.637 1
Tl2 Tl 0.290 0.150 0.609 1
Tl3 Tl 0.454 0.982 0.151 1
Tl4 Tl 0.500 0.500 0.000 1
Tl5 Tl 0.546 0.018 0.849 1
Tl6 Tl 0.710 0.850 0.391 1
Tl7 Tl 0.987 0.170 0.363 1
Sn1 Sn 0.066 0.486 0.857 1
Sn2 Sn 0.934 0.514 0.143 1
```

Properties
As for the density: 8.36 g cm⁻³. The space group is P-1, No. 2. The spin magnetization comes out at 0.00 μB per atom.

=====

Version ii
An optimized crystal structure of Ba3Tl7Sn2, computed with PBE.

Structure (CIF):
```
data_Ba3Tl7Sn2
_chemical_formula_sum 'Ba3 Tl7 Sn2'
_space_group_name_H-M_alt 'P 1'
_space_group_IT_number 1
_cell_length_a 11.256
_cell_length_b 11.256
_cell_length_c 11.256
_cell_angle_alpha 34.61
_cell_angle_beta 34.61
_cell_angle_gamma 34.61
loop_
_space_group_symop_operation_xyz
'x,y,z'
loop_
_atom_site_label
_atom_site_type_symbol
_atom_site_fract_x
_atom_site_fract_y
_atom_site_fract_z
_atom_site_occupancy
Ba1 Ba 0.000 0.000 0.000 1
Ba2 Ba 0.141 0.141 0.141 1
Ba3 Ba 0.859 0.859 0.859 1
Tl1 Tl 0.075 0.585 0.585 1
Tl2 Tl 0.415 0.415 0.925 1
Tl3 Tl 0.415 0.925 0.415 1
Tl4 Tl 0.500 0.500 0.500 1
Tl5 Tl 0.585 0.075 0.585 1
Tl6 Tl 0.585 0.585 0.075 1
Tl7 Tl 0.925 0.415 0.415 1
Sn1 Sn 0.336 0.336 0.336 1
Sn2 Sn 0.664 0.664 0.664 1
```

Properties
As for the density: 8.41 g cm⁻³. The space group is R-3m, No. 166. The spin magnetization comes out at 0.00 μB per atom.

=====

Of them, the most stable is version i and the least stable is version ii.

=====

Version i
An optimized crystal structure of Ba2V2Sn, computed with PBE.

Structure (CIF):
```
data_Ba2V2Sn
_chemical_formula_sum 'Ba4 V4 Sn2'
_space_group_name_H-M_alt 'P 1'
_space_group_IT_number 1
_cell_length_a 9.555
_cell_length_b 9.555
_cell_length_c 3.708
_cell_angle_alpha 90.00
_cell_angle_beta 90.00
_cell_angle_gamma 90.00
loop_
_space_group_symop_operation_xyz
'x,y,z'
loop_
_atom_site_label
_atom_site_type_symbol
_atom_site_fract_x
_atom_site_fract_y
_atom_site_fract_z
_atom_site_occupancy
Ba1 Ba 0.147 0.353 0.000 1
Ba2 Ba 0.353 0.853 0.000 1
Ba3 Ba 0.647 0.147 0.000 1
Ba4 Ba 0.853 0.647 0.000 1
V1 V 0.157 0.657 0.500 1
V2 V 0.343 0.157 0.500 1
V3 V 0.657 0.843 0.500 1
V4 V 0.843 0.343 0.500 1
Sn1 Sn 0.000 0.000 0.000 1
Sn2 Sn 0.500 0.500 0.000 1
```

Properties
As for the density: 4.86 g cm⁻³. The space group is P4/mbm, No. 127. The spin magnetization comes out at 1.62 μB per atom.

=====

Version ii
An optimized crystal structure of Ba2V2Sn, computed with PBE.

Structure (CIF):
```
data_Ba2V2Sn
_chemical_formula_sum 'Ba2 V2 Sn1'
_space_group_name_H-M_alt 'P 1'
_space_group_IT_number 1
_cell_length_a 11.986
_cell_length_b 11.986
_cell_length_c 11.986
_cell_angle_alpha 163.20
_cell_angle_beta 163.20
_cell_angle_gamma 23.84
loop_
_space_group_symop_operation_xyz
'x,y,z'
loop_
_atom_site_label
_atom_site_type_symbol
_atom_site_fract_x
_atom_site_fract_y
_atom_site_fract_z
_atom_site_occupancy
Ba1 Ba 0.112 0.112 0.000 1
Ba2 Ba 0.888 0.888 0.000 1
V1 V 0.250 0.750 0.500 1
V2 V 0.750 0.250 0.500 1
Sn1 Sn 0.500 0.500 0.000 1
```

Properties
As for the density: 5.72 g cm⁻³. The space group is I4/mmm, No. 139. The spin magnetization comes out at 0.00 μB per atom.

=====

Of them, the most stable is version ii and the least stable is version i.

=====

Version i
An optimized crystal structure of BaSnW3, computed with PBE.

Structure (CIF):
```
data_BaSnW3
_chemical_formula_sum 'Ba1 Sn1 W3'
_space_group_name_H-M_alt 'P 1'
_space_group_IT_number 1
_cell_length_a 5.053
_cell_length_b 5.053
_cell_length_c 5.053
_cell_angle_alpha 90.00
_cell_angle_beta 90.00
_cell_angle_gamma 90.00
loop_
_space_group_symop_operation_xyz
'x,y,z'
loop_
_atom_site_label
_atom_site_type_symbol
_atom_site_fract_x
_atom_site_fract_y
_atom_site_fract_z
_atom_site_occupancy
Ba1 Ba 0.000 0.000 0.000 1
Sn1 Sn 0.500 0.500 0.500 1
W1 W 0.000 0.000 0.500 1
W2 W 0.000 0.500 0.000 1
W3 W 0.500 0.000 0.000 1
```

Properties
As for the density: 10.39 g cm⁻³. The space group is Pm-3m, No. 221. The spin magnetization comes out at 0.00 μB per atom.

=====

Version ii
An optimized crystal structure of BaSnW3, computed with PBE.

Structure (CIF):
```
data_BaSnW3
_chemical_formula_sum 'Ba1 Sn1 W3'
_space_group_name_H-M_alt 'P 1'
_space_group_IT_number 1
_cell_length_a 5.103
_cell_length_b 5.103
_cell_length_c 5.103
_cell_angle_alpha 90.00
_cell_angle_beta 90.00
_cell_angle_gamma 90.00
loop_
_space_group_symop_operation_xyz
'x,y,z'
loop_
_atom_site_label
_atom_site_type_symbol
_atom_site_fract_x
_atom_site_fract_y
_atom_site_fract_z
_atom_site_occupancy
Ba1 Ba 0.000 0.000 0.000 1
Sn1 Sn 0.500 0.500 0.500 1
W1 W 0.000 0.500 0.500 1
W2 W 0.500 0.000 0.500 1
W3 W 0.500 0.500 0.000 1
```

Properties
As for the density: 10.09 g cm⁻³. The space group is Pm-3m, No. 221. The spin magnetization comes out at 0.00 μB per atom.

=====

Of them, the most stable is version ii and the least stable is version i.

=====

Version i
An optimized crystal structure of BaSn2W, computed with PBE.

Structure (CIF):
```
data_BaSn2W
_chemical_formula_sum 'Ba1 Sn2 W1'
_space_group_name_H-M_alt 'P 1'
_space_group_IT_number 1
_cell_length_a 5.281
_cell_length_b 5.281
_cell_length_c 5.281
_cell_angle_alpha 60.00
_cell_angle_beta 60.00
_cell_angle_gamma 60.00
loop_
_space_group_symop_operation_xyz
'x,y,z'
loop_
_atom_site_label
_atom_site_type_symbol
_atom_site_fract_x
_atom_site_fract_y
_atom_site_fract_z
_atom_site_occupancy
Ba1 Ba 0.000 0.000 0.000 1
Sn1 Sn 0.250 0.250 0.250 1
Sn2 Sn 0.750 0.750 0.750 1
W1 W 0.500 0.500 0.500 1
```

Properties
As for the density: 8.91 g cm⁻³. The space group is Fm-3m, No. 225. The spin magnetization comes out at 0.47 μB per atom.

=====

Version ii
An optimized crystal structure of BaSn2W, computed with PBE.

Structure (CIF):
```
data_BaSn2W
_chemical_formula_sum 'Ba2 Sn4 W2'
_space_group_name_H-M_alt 'P 1'
_space_group_IT_number 1
_cell_length_a 9.630
_cell_length_b 9.630
_cell_length_c 9.630
_cell_angle_alpha 143.87
_cell_angle_beta 143.87
_cell_angle_gamma 52.02
loop_
_space_group_symop_operation_xyz
'x,y,z'
loop_
_atom_site_label
_atom_site_type_symbol
_atom_site_fract_x
_atom_site_fract_y
_atom_site_fract_z
_atom_site_occupancy
Ba1 Ba 0.375 0.625 0.750 1
Ba2 Ba 0.625 0.375 0.250 1
Sn1 Sn 0.000 0.000 0.000 1
Sn2 Sn 0.000 0.000 0.500 1
Sn3 Sn 0.000 0.500 0.000 1
Sn4 Sn 0.500 0.000 0.500 1
W1 W 0.125 0.875 0.250 1
W2 W 0.875 0.125 0.750 1
```

Properties
As for the density: 6.01 g cm⁻³. The space group is I4_1/amd, No. 141. The spin magnetization comes out at 0.22 μB per atom.

=====

Of them, the most stable is version ii and the least stable is version i.